## a
First-principles (GGA-PBE) data for a relaxed structure of Al, as listed in Alexandria via LeMat-Bulk.

Cell: 4.5497 4.5497 2.7446 Å, 90.00 90.00 120.00°
Space group P6/mmm (No. 191)
Asymmetric unit:
Al (0.3333, 0.6667, 0.0000) [2 per cell]

Fermi-level density of states	0.3	states/eV/f.u.
magnetic moment	0.00	μB/f.u.
mass density	1.82	g/cm³


## b
First-principles (GGA-PBE) data for a relaxed structure of Al, as listed in Alexandria via LeMat-Bulk.

Cell: 7.452 7.452 7.452 Å, 90.00 90.00 90.00°
Space group Fd-3m (No. 227, origin choice 2)
Asymmetric unit:
Al (0.000, 0.000, 0.000) [16 per cell]
Al (0.125, 0.125, 0.625) [8 per cell]

Fermi-level density of states	0.4	states/eV/f.u.
magnetic moment	0.00	μB/f.u.
mass density	2.60	g/cm³


Which structure is the most stable? The one labeled b.


## a
First-principles (GGA-PBE) data for a relaxed structure of AlAs4, as listed in Alexandria via LeMat-Bulk.

Cell: 4.821 4.821 4.821 Å, 90.00 90.00 90.00°
Space group Pm-3m (No. 221)
Asymmetric unit:
Al (0.000, 0.000, 0.000) [1 per cell]
As (0.000, 0.000, 0.500) [3 per cell]
As (0.500, 0.500, 0.500) [1 per cell]

Fermi-level density of states	4.2	states/eV/f.u.
magnetic moment	0.00	μB/f.u.
mass density	4.84	g/cm³


## b
First-principles (GGA-PBE) data for a relaxed structure of AlAs4, as listed in Alexandria via LeMat-Bulk.

Cell: 6.002 6.002 6.002 Å, 90.00 90.00 90.00°
Space group Im-3m (No. 229)
Asymmetric unit:
Al (0.000, 0.000, 0.000) [2 per cell]
As (0.250, 0.250, 0.250) [8 per cell]

Fermi-level density of states	2.6	states/eV/f.u.
magnetic moment	0.00	μB/f.u.
mass density	5.02	g/cm³


## c
First-principles (GGA-PBE) data for a relaxed structure of AlAs4, as listed in Alexandria via LeMat-Bulk.

Cell: 7.839 7.839 3.818 Å, 90.00 90.00 90.00°
Space group I4/m (No. 87)
Asymmetric unit:
Al (0.000, 0.000, 0.000) [2 per cell]
As (0.090, 0.217, 0.500) [8 per cell]

Fermi-level density of states	1.1	states/eV/f.u.
magnetic moment	0.00	μB/f.u.
mass density	4.62	g/cm³


## d
First-principles (GGA-PBE) data for a relaxed structure of AlAs4, as listed in Alexandria via LeMat-Bulk.

Cell: 5.252 5.252 7.950 Å, 90.00 90.00 90.00°
Space group I4/mmm (No. 139)
Asymmetric unit:
Al (0.000, 0.000, 0.000) [2 per cell]
As (0.000, 0.000, 0.329) [4 per cell]
As (0.000, 0.500, 0.250) [4 per cell]

Fermi-level density of states	2.6	states/eV/f.u.
magnetic moment	0.00	μB/f.u.
mass density	4.95	g/cm³


Which structure is the most stable? The one labeled c.


## a
First-principles (GGA-PBE) data for a relaxed structure of Al4As3, as listed in Alexandria via LeMat-Bulk.

Cell: 5.7025 5.7025 4.8533 Å, 90.00 90.00 120.00°
Space group P6/mmm (No. 191)
Asymmetric unit:
Al (0.0000, 0.0000, 0.2475) [2 per cell]
Al (0.3333, 0.6667, 0.5000) [2 per cell]
As (0.0000, 0.5000, 0.0000) [3 per cell]

Fermi-level density of states	4.9	states/eV/f.u.
magnetic moment	0.00	μB/f.u.
mass density	4.04	g/cm³


## b
First-principles (GGA-PBE) data for a relaxed structure of Al4As3, as listed in Alexandria via LeMat-Bulk.

Cell: 3.708 3.708 20.803 Å, 90.00 90.00 90.00°
Space group I4/mmm (No. 139)
Asymmetric unit:
Al (0.000, 0.000, 0.060) [4 per cell]
Al (0.000, 0.000, 0.309) [4 per cell]
As (0.000, 0.000, 0.180) [4 per cell]
As (0.000, 0.000, 0.500) [2 per cell]

Fermi-level density of states	2.6	states/eV/f.u.
magnetic moment	0.00	μB/f.u.
mass density	3.86	g/cm³


Which structure is the most stable? The one labeled b.


## a
First-principles (GGA-PBE) data for a relaxed structure of Al5As3, as listed in Alexandria via LeMat-Bulk.

Cell: 5.980 10.100 4.926 Å, 90.00 90.00 90.00°
Space group Cmmm (No. 65)
Asymmetric unit:
Al (0.000, 0.000, 0.000) [2 per cell]
Al (0.220, 0.500, 0.500) [4 per cell]
Al (0.250, 0.250, 0.000) [4 per cell]
As (0.000, 0.189, 0.500) [4 per cell]
As (0.000, 0.500, 0.000) [2 per cell]

Fermi-level density of states	3.0	states/eV/f.u.
magnetic moment	0.00	μB/f.u.
mass density	4.02	g/cm³


## b
First-principles (GGA-PBE) data for a relaxed structure of Al5As3, as listed in Alexandria via LeMat-Bulk.

Cell: 5.898 14.211 7.715 Å, 90.00 112.42 90.00°
Space group Cm (No. 8)
Asymmetric unit:
Al (0.000, 0.000, 0.000) [2 per cell]
Al (0.002, 0.500, 0.000) [2 per cell]
Al (0.122, 0.141, 0.795) [4 per cell]
Al (0.134, 0.397, 0.716) [4 per cell]
Al (0.326, 0.142, 0.202) [4 per cell]
Al (0.419, 0.398, 0.283) [4 per cell]
As (0.074, 0.308, 0.998) [4 per cell]
As (0.117, 0.500, 0.382) [2 per cell]
As (0.234, 0.000, 0.614) [2 per cell]
As (0.497, 0.250, 0.498) [4 per cell]

Fermi-level density of states	1.4	states/eV/f.u.
magnetic moment	0.00	μB/f.u.
mass density	4.00	g/cm³


Which structure is the most stable? The one labeled b.


## a
First-principles (GGA-PBE) data for a relaxed structure of AlAsAu2, as listed in Alexandria via LeMat-Bulk.

Cell: 3.768 3.768 5.527 Å, 90.00 90.00 90.00°
Space group P4mm (No. 99)
Asymmetric unit:
Al (0.000, 0.000, 0.000) [1 per cell]
As (0.500, 0.500, 0.449) [1 per cell]
Au (0.000, 0.000, 0.476) [1 per cell]
Au (0.500, 0.500, 0.943) [1 per cell]

Fermi-level density of states	1.8	states/eV/f.u.
magnetic moment	0.00	μB/f.u.
mass density	10.49	g/cm³


## b
First-principles (GGA-PBE) data for a relaxed structure of AlAsAu2, as listed in Alexandria via LeMat-Bulk.

Cell: 3.086 4.846 5.228 Å, 90.00 105.74 90.00°
Space group Pm (No. 6)
Asymmetric unit:
Al (0.000, 0.000, 0.000) [1 per cell]
As (0.872, 0.500, 0.666) [1 per cell]
Au (0.592, 0.500, 0.120) [1 per cell]
Au (0.718, 0.000, 0.449) [1 per cell]

Fermi-level density of states	2.0	states/eV/f.u.
magnetic moment	0.00	μB/f.u.
mass density	10.94	g/cm³


## c
First-principles (GGA-PBE) data for a relaxed structure of AlAsAu2, as listed in Alexandria via LeMat-Bulk.

Cell: 8.148 3.201 5.852 Å, 90.00 103.75 90.00°
Space group C2/m (No. 12)
Asymmetric unit:
Al (0.000, 0.000, 0.000) [2 per cell]
As (0.000, 0.500, 0.500) [2 per cell]
Au (0.239, 0.500, 0.224) [4 per cell]

Fermi-level density of states	1.2	states/eV/f.u.
magnetic moment	0.00	μB/f.u.
mass density	11.11	g/cm³


Which structure is the most stable? The one labeled c.


## a
First-principles (GGA-PBE) data for a relaxed structure of AlAsAu2, as listed in Alexandria via LeMat-Bulk.

Cell: 3.6081 3.6081 20.5990 Å, 90.00 90.00 120.00°
Space group R3m (No. 160, hexagonal axes)
Asymmetric unit:
Al (0.0000, 0.0000, 0.0000) [3 per cell]
As (0.0000, 0.0000, 0.7522) [3 per cell]
Au (0.0000, 0.0000, 0.2588) [3 per cell]
Au (0.0000, 0.0000, 0.4975) [3 per cell]

Fermi-level density of states	1.8	states/eV/f.u.
magnetic moment	0.00	μB/f.u.
mass density	10.64	g/cm³


## b
First-principles (GGA-PBE) data for a relaxed structure of AlAsAu2, as listed in Alexandria via LeMat-Bulk.

Cell: 3.2551 3.2551 23.9651 Å, 90.00 90.00 120.00°
Space group R-3m (No. 166, hexagonal axes)
Asymmetric unit:
Al (0.0000, 0.0000, 0.0000) [3 per cell]
As (0.0000, 0.0000, 0.5000) [3 per cell]
Au (0.0000, 0.0000, 0.2555) [6 per cell]

Fermi-level density of states	1.1	states/eV/f.u.
magnetic moment	0.00	μB/f.u.
mass density	11.23	g/cm³


## c
First-principles (GGA-PBE) data for a relaxed structure of AlAsAu2, as listed in Alexandria via LeMat-Bulk.

Cell: 4.307 4.307 17.008 Å, 90.00 90.00 90.00°
Space group I-42d (No. 122)
Asymmetric unit:
Al (0.000, 0.000, 0.000) [4 per cell]
As (0.000, 0.000, 0.500) [4 per cell]
Au (0.238, 0.250, 0.125) [8 per cell]

Fermi-level density of states	1.9	states/eV/f.u.
magnetic moment	0.00	μB/f.u.
mass density	10.44	g/cm³


## d
First-principles (GGA-PBE) data for a relaxed structure of AlAsAu2, as listed in Alexandria via LeMat-Bulk.

Cell: 3.804 4.553 8.337 Å, 90.00 90.00 90.00°
Space group Imm2 (No. 44)
Asymmetric unit:
Al (0.000, 0.000, 0.000) [2 per cell]
As (0.000, 0.500, 0.727) [2 per cell]
Au (0.000, 0.000, 0.503) [2 per cell]
Au (0.000, 0.500, 0.273) [2 per cell]

Fermi-level density of states	1.2	states/eV/f.u.
magnetic moment	0.00	μB/f.u.
mass density	11.40	g/cm³


Which structure is the most stable? The one labeled b.


## a
First-principles (GGA-PBE) data for a relaxed structure of Al2AsAu2, as listed in Alexandria via LeMat-Bulk.

Cell: 7.617 7.617 3.070 Å, 90.00 90.00 90.00°
Space group P4/mbm (No. 127)
Asymmetric unit:
Al (0.161, 0.339, 0.000) [4 per cell]
As (0.000, 0.000, 0.500) [2 per cell]
Au (0.137, 0.637, 0.500) [4 per cell]

Fermi-level density of states	1.4	states/eV/f.u.
magnetic moment	0.00	μB/f.u.
mass density	9.75	g/cm³


## b
First-principles (GGA-PBE) data for a relaxed structure of Al2AsAu2, as listed in Alexandria via LeMat-Bulk.

Cell: 3.999 3.999 11.890 Å, 90.00 90.00 90.00°
Space group I4/mmm (No. 139)
Asymmetric unit:
Al (0.000, 0.500, 0.250) [4 per cell]
As (0.000, 0.000, 0.000) [2 per cell]
Au (0.000, 0.000, 0.384) [4 per cell]

Fermi-level density of states	1.7	states/eV/f.u.
magnetic moment	0.00	μB/f.u.
mass density	9.13	g/cm³


## c
First-principles (GGA-PBE) data for a relaxed structure of Al2AsAu2, as listed in Alexandria via LeMat-Bulk.

Cell: 7.703 7.703 3.055 Å, 90.00 90.00 90.00°
Space group P4/mbm (No. 127)
Asymmetric unit:
Al (0.173, 0.327, 0.000) [4 per cell]
As (0.000, 0.000, 0.000) [2 per cell]
Au (0.129, 0.629, 0.500) [4 per cell]

Fermi-level density of states	2.9	states/eV/f.u.
magnetic moment	0.00	μB/f.u.
mass density	9.58	g/cm³


Which structure is the most stable? The one labeled a.


## a
First-principles (GGA-PBE) data for a relaxed structure of AlCrAs2Au, as listed in Alexandria via LeMat-Bulk.

Cell: 4.741 4.741 4.873 Å, 90.00 90.00 90.00°
Space group P4/mmm (No. 123)
Asymmetric unit:
Al (0.000, 0.000, 0.000) [1 per cell]
Cr (0.000, 0.000, 0.500) [1 per cell]
As (0.000, 0.500, 0.000) [2 per cell]
Au (0.500, 0.500, 0.500) [1 per cell]

Fermi-level density of states	2.3	states/eV/f.u.
magnetic moment	3.63	μB/f.u.
mass density	6.46	g/cm³


## b
First-principles (GGA-PBE) data for a relaxed structure of AlCrAs2Au, as listed in Alexandria via LeMat-Bulk.

Cell: 5.177 5.177 4.693 Å, 90.00 90.00 90.00°
Space group P4/mmm (No. 123)
Asymmetric unit:
Al (0.000, 0.000, 0.000) [1 per cell]
Cr (0.500, 0.500, 0.000) [1 per cell]
As (0.000, 0.500, 0.500) [2 per cell]
Au (0.000, 0.000, 0.500) [1 per cell]

Fermi-level density of states	3.9	states/eV/f.u.
magnetic moment	4.11	μB/f.u.
mass density	5.62	g/cm³


Which structure is the most stable? The one labeled a.


## a
First-principles (GGA-PBE) data for a relaxed structure of AlAs2AuSe, as listed in Alexandria via LeMat-Bulk.

Cell: 4.848 4.848 4.819 Å, 90.00 90.00 90.00°
Space group P4/mmm (No. 123)
Asymmetric unit:
Al (0.000, 0.000, 0.000) [1 per cell]
As (0.000, 0.500, 0.000) [2 per cell]
Au (0.500, 0.500, 0.500) [1 per cell]
Se (0.000, 0.000, 0.500) [1 per cell]

Fermi-level density of states	3.6	states/eV/f.u.
magnetic moment	0.00	μB/f.u.
mass density	6.64	g/cm³


## b
First-principles (GGA-PBE) data for a relaxed structure of AlAs2AuSe, as listed in Alexandria via LeMat-Bulk.

Cell: 5.031 5.031 5.228 Å, 90.00 90.00 90.00°
Space group P4/mmm (No. 123)
Asymmetric unit:
Al (0.000, 0.000, 0.000) [1 per cell]
As (0.000, 0.500, 0.500) [2 per cell]
Au (0.500, 0.500, 0.500) [1 per cell]
Se (0.500, 0.500, 0.000) [1 per cell]

Fermi-level density of states	5.0	states/eV/f.u.
magnetic moment	0.70	μB/f.u.
mass density	5.68	g/cm³


Which structure is the most stable? The one labeled a.


## a
First-principles (GGA-PBE) data for a relaxed structure of AlB2As, as listed in Alexandria via LeMat-Bulk.

Cell: 5.068 5.068 9.110 Å, 90.00 90.00 90.00°
Space group I-42d (No. 122)
Asymmetric unit:
Al (0.000, 0.000, 0.000) [4 per cell]
B (0.228, 0.250, 0.625) [8 per cell]
As (0.000, 0.000, 0.500) [4 per cell]

Fermi-level density of states	0.9	states/eV/f.u.
magnetic moment	0.00	μB/f.u.
mass density	3.51	g/cm³


## b
First-principles (GGA-PBE) data for a relaxed structure of AlB2As, as listed in Alexandria via LeMat-Bulk.

Cell: 5.773 5.773 5.773 Å, 90.00 90.00 90.00°
Space group Fm-3m (No. 225)
Asymmetric unit:
Al (0.000, 0.000, 0.000) [4 per cell]
B (0.250, 0.250, 0.250) [8 per cell]
As (0.000, 0.000, 0.500) [4 per cell]

Fermi-level density of states	1.9	states/eV/f.u.
magnetic moment	0.00	μB/f.u.
mass density	4.26	g/cm³


Which structure is the most stable? The one labeled a.